## BaHf7O15 (GGA-PBE)

Data for a geometry-optimized BaHf7O15 structure.

Summary:
Crystal system ... triclinic
Symmetry ... P1
V ... 570 Å³ per cell
ΔE to the lowest computed polymorph ... 0.000 eV per atom
E_tot ... -9.754 eV/atom

a b c (Å): 7.353 7.622 10.174
angles (deg): 91.11 91.51 90.43
Positions (direct):
Ba1 0.394 0.638 0.155
Ba2 0.893 0.626 0.621
Hf1 0.422 0.145 0.118
Hf2 0.897 0.163 0.124
Hf3 0.901 0.641 0.136
Hf4 0.628 0.918 0.385
Hf5 0.124 0.348 0.386
Hf6 0.164 0.915 0.390
Hf7 0.660 0.345 0.391
Hf8 0.385 0.622 0.639
Hf9 0.390 0.100 0.652
Hf10 0.866 0.119 0.658
Hf11 0.616 0.401 0.876
Hf12 0.130 0.370 0.881
Hf13 0.156 0.894 0.895
Hf14 0.670 0.862 0.899
O1 0.679 0.609 0.003
O2 0.111 0.691 0.005
O3 0.657 0.203 0.016
O4 0.147 0.108 0.023
O5 0.969 0.396 0.039
O6 0.845 0.906 0.056
O7 0.678 0.117 0.257
O8 0.384 0.954 0.267
O9 0.878 0.408 0.269
O10 0.708 0.724 0.273
O11 0.090 0.711 0.277
O12 0.389 0.333 0.279
O13 0.060 0.108 0.280
O14 0.197 0.555 0.496
O15 0.227 0.156 0.497
O16 0.899 0.930 0.497
O17 0.579 0.539 0.502
O18 0.410 0.856 0.507
O19 0.904 0.310 0.509
O20 0.610 0.146 0.519
O21 0.444 0.357 0.718
O22 0.317 0.867 0.737
O23 0.141 0.155 0.753
O24 0.630 0.060 0.760
O25 0.176 0.569 0.768
O26 0.608 0.655 0.772
O27 0.854 0.342 0.785
O28 0.914 0.898 0.790
O29 0.373 0.365 0.986
O30 0.433 0.921 0.991